(1)
# Al2CdHg | the Alexandria database | GGA-PBE | relaxed
# calculated formation energy = 181 meV/atom
# magnetization = 0.00 μB/f.u.
data_Al2CdHg
_space_group_name_H-M_alt 'I -4 m 2'
_space_group_IT_number 119
_space_group_name_Hall 'I -4 -2'
_cell_length_a 4.332
_cell_length_b 4.332
_cell_length_c 8.639
_cell_angle_alpha 90.00
_cell_angle_beta 90.00
_cell_angle_gamma 90.00
loop_
_atom_site_label
_atom_site_type_symbol
_atom_site_fract_x
_atom_site_fract_y
_atom_site_fract_z
Al1 Al 0.000 0.000 0.000
Al2 Al 0.000 0.500 0.250
Cd1 Cd 0.000 0.500 0.750
Hg1 Hg 0.000 0.000 0.500

(2)
# Co2AsOs | the Alexandria database | GGA-PBE | relaxed
# calculated formation energy = 448 meV/atom
# magnetization = 2.77 μB/f.u.
data_Co2AsOs
_space_group_name_H-M_alt 'C m m m'
_space_group_IT_number 65
_space_group_name_Hall '-C 2 2'
_cell_length_a 2.768
_cell_length_b 4.661
_cell_length_c 8.265
_cell_angle_alpha 90.00
_cell_angle_beta 90.00
_cell_angle_gamma 90.00
loop_
_atom_site_label
_atom_site_type_symbol
_atom_site_fract_x
_atom_site_fract_y
_atom_site_fract_z
Co1 Co 0.000 0.000 0.243
As1 As 0.000 0.500 0.000
Os1 Os 0.000 0.500 0.500

(3)
# YZr2BiH | the Alexandria database | GGA-PBE | relaxed
# total DFT energy (no corrections) = -6.50 eV per atom
# magnetization = 0.00 μB/f.u.
data_YZr2BiH
_space_group_name_H-M_alt 'P 4/m m m'
_space_group_IT_number 123
_space_group_name_Hall '-P 4 2'
_cell_length_a 4.485
_cell_length_b 4.485
_cell_length_c 4.978
_cell_angle_alpha 90.00
_cell_angle_beta 90.00
_cell_angle_gamma 90.00
loop_
_atom_site_label
_atom_site_type_symbol
_atom_site_fract_x
_atom_site_fract_y
_atom_site_fract_z
Y1 Y 0.000 0.000 0.000
Zr1 Zr 0.000 0.500 0.500
Bi1 Bi 0.500 0.500 0.000
H1 H 0.000 0.000 0.500

(4)
# NaSr2Mg | the Alexandria database | GGA-PBE | relaxed
# calculated formation energy = 95 meV/atom
# magnetization = 0.00 μB/f.u.
data_NaSr2Mg
_space_group_name_H-M_alt 'R 3 m'
_space_group_IT_number 160
_space_group_name_Hall 'R 3 -2"'
_cell_length_a 4.1270
_cell_length_b 4.1270
_cell_length_c 35.8465
_cell_angle_alpha 90.00
_cell_angle_beta 90.00
_cell_angle_gamma 120.00
loop_
_atom_site_label
_atom_site_type_symbol
_atom_site_fract_x
_atom_site_fract_y
_atom_site_fract_z
Na1 Na 0.0000 0.0000 0.0000
Sr1 Sr 0.0000 0.0000 0.2427
Sr2 Sr 0.0000 0.0000 0.4243
Mg1 Mg 0.0000 0.0000 0.8334

(5)
# NaCe2NbO8 | the Alexandria database | GGA-PBE | relaxed
# energy relative to the elements, uncorrected = -2426.7 meV per atom
# magnetization = 2.07 μB/f.u.
data_NaCe2NbO8
_space_group_name_H-M_alt 'C m m m'
_space_group_IT_number 65
_space_group_name_Hall '-C 2 2'
_cell_length_a 7.087
_cell_length_b 7.176
_cell_length_c 7.161
_cell_angle_alpha 90.00
_cell_angle_beta 90.00
_cell_angle_gamma 90.00
loop_
_atom_site_label
_atom_site_type_symbol
_atom_site_fract_x
_atom_site_fract_y
_atom_site_fract_z
Na1 Na 0.000 0.000 0.000
Ce1 Ce 0.000 0.500 0.242
Nb1 Nb 0.000 0.000 0.500
O1 O 0.000 0.190 0.296
O2 O 0.181 0.500 0.000
O3 O 0.212 0.500 0.500

(6)
# NiSn2Pb | the Alexandria database | GGA-PBE | relaxed
# calculated formation energy = 1 meV/atom
# magnetization = 0.00 μB/f.u.
data_NiSn2Pb
_space_group_name_H-M_alt 'P 4/m m m'
_space_group_IT_number 123
_space_group_name_Hall '-P 4 2'
_cell_length_a 3.283
_cell_length_b 3.283
_cell_length_c 8.537
_cell_angle_alpha 90.00
_cell_angle_beta 90.00
_cell_angle_gamma 90.00
loop_
_atom_site_label
_atom_site_type_symbol
_atom_site_fract_x
_atom_site_fract_y
_atom_site_fract_z
Ni1 Ni 0.000 0.000 0.000
Sn1 Sn 0.500 0.500 0.186
Pb1 Pb 0.000 0.000 0.500

(7)
# SrCa2UO6 | the Alexandria database | GGA-PBE | relaxed
# energy relative to the elements, uncorrected = -3130.9 meV per atom
# magnetization = 0.00 μB/f.u.
data_SrCa2UO6
_space_group_name_H-M_alt 'R 3'
_space_group_IT_number 146
_space_group_name_Hall 'R 3'
_cell_length_a 5.9445
_cell_length_b 5.9445
_cell_length_c 15.5633
_cell_angle_alpha 90.00
_cell_angle_beta 90.00
_cell_angle_gamma 120.00
loop_
_atom_site_label
_atom_site_type_symbol
_atom_site_fract_x
_atom_site_fract_y
_atom_site_fract_z
Sr1 Sr 0.0000 0.0000 0.0000
Ca1 Ca 0.0000 0.0000 0.2736
Ca2 Ca 0.0000 0.0000 0.7847
U1 U 0.0000 0.0000 0.4849
O1 O 0.0074 0.3726 0.2178
O2 O 0.0098 0.7346 0.3981

(8)
# Pm6Hg5Au | the Alexandria database | GGA-PBE | relaxed
# calculated formation energy = -521 meV/atom
# magnetization = 1.57 μB/f.u.
data_Pm6Hg5Au
_space_group_name_H-M_alt 'I m m m'
_space_group_IT_number 71
_space_group_name_Hall '-I 2 2'
_cell_length_a 5.342
_cell_length_b 7.633
_cell_length_c 16.035
_cell_angle_alpha 90.00
_cell_angle_beta 90.00
_cell_angle_gamma 90.00
loop_
_atom_site_label
_atom_site_type_symbol
_atom_site_fract_x
_atom_site_fract_y
_atom_site_fract_z
Pm1 Pm 0.000 0.241 0.000
Pm2 Pm 0.000 0.255 0.337
Hg1 Hg 0.000 0.000 0.174
Hg2 Hg 0.000 0.000 0.500
Hg3 Hg 0.000 0.500 0.167
Au1 Au 0.000 0.500 0.500

(9)
# MgSiB2 | the Alexandria database | GGA-PBE | relaxed
# energy relative to the elements, uncorrected = 151.1 meV per atom
# magnetization = 0.00 μB/f.u.
data_MgSiB2
_space_group_name_H-M_alt 'I m a 2'
_space_group_IT_number 46
_cell_length_a 3.825
_cell_length_b 7.409
_cell_length_c 6.636
_cell_angle_alpha 90.00
_cell_angle_beta 90.00
_cell_angle_gamma 90.00
loop_
_space_group_symop_operation_xyz
'x,y,z'
'-x,-y,z'
'-x+1/2,y,z'
'x+1/2,-y,z'
'x+1/2,y+1/2,z+1/2'
'-x+1/2,-y+1/2,z+1/2'
'-x,y+1/2,z+1/2'
'x,-y+1/2,z+1/2'
loop_
_atom_site_label
_atom_site_type_symbol
_atom_site_fract_x
_atom_site_fract_y
_atom_site_fract_z
Mg1 Mg 0.250 0.185 0.000
Si1 Si 0.250 0.607 0.797
B1 B 0.000 0.000 0.725
B2 B 0.250 0.665 0.106

(10)
# RbNbH2 | the Alexandria database | GGA-PBE | relaxed
# total DFT energy (no corrections) = -3.99 eV per atom
# magnetization = 0.00 μB/f.u.
data_RbNbH2
_space_group_name_H-M_alt 'I -4 2 d'
_space_group_IT_number 122
_space_group_name_Hall 'I -4 2bw'
_cell_length_a 5.797
_cell_length_b 5.797
_cell_length_c 7.838
_cell_angle_alpha 90.00
_cell_angle_beta 90.00
_cell_angle_gamma 90.00
loop_
_atom_site_label
_atom_site_type_symbol
_atom_site_fract_x
_atom_site_fract_y
_atom_site_fract_z
Rb1 Rb 0.000 0.000 0.000
Nb1 Nb 0.000 0.000 0.500
H1 H 0.129 0.250 0.625

(11)
# La6CuOs2Cl3 | the Alexandria database | GGA-PBE | relaxed
# energy relative to the elements, uncorrected = -960.1 meV per atom
# magnetization = 0.00 μB/f.u.
data_La6CuOs2Cl3
_space_group_name_H-M_alt 'C 1 2/m 1'
_space_group_IT_number 12
_cell_length_a 7.237
_cell_length_b 12.541
_cell_length_c 8.046
_cell_angle_alpha 90.00
_cell_angle_beta 107.40
_cell_angle_gamma 90.00
loop_
_space_group_symop_operation_xyz
'x,y,z'
'-x,-y,-z'
'-x,y,-z'
'x,-y,z'
'x+1/2,y+1/2,z'
'-x+1/2,-y+1/2,-z'
'-x+1/2,y+1/2,-z'
'x+1/2,-y+1/2,z'
loop_
_atom_site_label
_atom_site_type_symbol
_atom_site_fract_x
_atom_site_fract_y
_atom_site_fract_z
La1 La 0.218 0.000 0.207
La2 La 0.244 0.325 0.206
Cu1 Cu 0.000 0.500 0.000
Os1 Os 0.000 0.166 0.000
Cl1 Cl 0.000 0.000 0.500
Cl2 Cl 0.000 0.330 0.500

(12)
# PmY4Th3 | the Alexandria database | GGA-PBE | relaxed
# calculated formation energy = 50 meV/atom
# magnetization = 0.00 μB/f.u.
data_PmY4Th3
_space_group_name_H-M_alt 'P -1'
_space_group_IT_number 2
_cell_length_a 6.195
_cell_length_b 6.220
_cell_length_c 7.990
_cell_angle_alpha 105.05
_cell_angle_beta 104.95
_cell_angle_gamma 109.39
loop_
_space_group_symop_operation_xyz
'x,y,z'
'-x,-y,-z'
loop_
_atom_site_label
_atom_site_type_symbol
_atom_site_fract_x
_atom_site_fract_y
_atom_site_fract_z
Pm1 Pm 0.000 0.000 0.000
Y1 Y 0.124 0.624 0.248
Y2 Y 0.253 0.253 0.506
Th1 Th 0.378 0.878 0.756
Th2 Th 0.500 0.500 0.000